Material: Zr3Al2Hg2
Method: DFT, PBE
State: relaxed

Lattice parameters (Å, degrees): 4.3586 3.1914 10.3411 90.00 77.83 90.00
Last column: nearest neighbours and their distance in Å.
Atoms (fractional coordinates):
Hg 0.5775 0.5000 0.8451  1 Al 2.79, 4 Zr 3.12
Zr 0.0000 0.0000 0.0000  8 Hg 3.12, 4 Zr 3.19-3.24
Zr 0.8398 0.0000 0.3203  6 Al 2.92-2.98, 4 Hg 3.18, 3 Zr 3.19-3.24
Hg 0.4225 0.5000 0.1549  1 Al 2.79, 4 Zr 3.12
Al 0.7156 0.5000 0.5688  2 Al 2.59, 1 Hg 2.79
Zr 0.1602 0.0000 0.6797  6 Al 2.92-2.98, 4 Hg 3.18, 3 Zr 3.19-3.24
Al 0.2844 0.5000 0.4312  2 Al 2.59, 1 Hg 2.79

Properties
DOS at the Fermi energy (states/eV per atom): 0.545
ΔE_f (eV per atom): -0.33
E_tot (eV per atom): -5.15
Space group: No. 65



Material: Zr12AlHg3
Method: DFT, PBE
State: relaxed

Lattice parameters (Å, degrees): 4.4246 4.4246 17.7620 90.00 90.00 90.00
Last column: nearest neighbours and their distance in Å.
Atoms (fractional coordinates):
Zr 0.0000 0.5000 0.8793  8 Zr 3.08-3.17, 2 Al 3.08, 2 Hg 3.17
Zr 0.5000 0.0000 0.6261  8 Zr 3.13-3.15, 4 Hg 3.14-3.15
Zr 0.5000 0.5000 0.2488  4 Hg 3.13, 8 Zr 3.14-3.17
Hg 0.0000 0.0000 0.5000  12 Zr 3.13-3.15
Zr 0.5000 0.5000 0.5000  4 Hg 3.13, 8 Zr 3.15
Zr 0.5000 0.5000 0.7512  4 Hg 3.13, 8 Zr 3.14-3.17
Zr 0.0000 0.5000 0.3739  8 Zr 3.13-3.15, 4 Hg 3.14-3.15
Zr 0.0000 0.5000 0.6261  8 Zr 3.13-3.15, 4 Hg 3.14-3.15
Al 0.0000 0.0000 0.0000  12 Zr 3.08-3.13
Zr 0.5000 0.0000 0.8793  8 Zr 3.08-3.17, 2 Al 3.08, 2 Hg 3.17
Zr 0.5000 0.0000 0.1207  8 Zr 3.08-3.17, 2 Al 3.08, 2 Hg 3.17
Zr 0.5000 0.5000 0.0000  8 Zr 3.08, 4 Al 3.13
Zr 0.5000 0.0000 0.3739  8 Zr 3.13-3.15, 4 Hg 3.14-3.15
Hg 0.0000 0.0000 0.7518  12 Zr 3.13-3.17
Hg 0.0000 0.0000 0.2482  12 Zr 3.13-3.17
Zr 0.0000 0.5000 0.1207  8 Zr 3.08-3.17, 2 Al 3.08, 2 Hg 3.17

Properties
DOS at the Fermi energy (states/eV per atom): 0.926
ΔE_f (eV per atom): -0.18
E_tot (eV per atom): -6.88
Space group: No. 123